# 1
Computed, not measured: crystalline YGe3Bi at its relaxed geometry at the PBE level of DFT.

Summary:
spin magnetization = 0.0 Bohr magnetons per cell
calculated volume = 157.57 Å³ per cell
energy above the lowest structure with this stoichiometry = 127 meV per atom

Structure (CIF):
```
data_YGe3Bi
_cell_length_a 5.4012
_cell_length_b 5.4012
_cell_length_c 5.4012
_cell_angle_alpha 90.00
_cell_angle_beta 90.00
_cell_angle_gamma 90.00
_space_group_name_H-M_alt 'P m -3 m'
_space_group_IT_number 221
_space_group_name_Hall '-P 4 2 3'
loop_
_atom_site_label
_atom_site_type_symbol
_atom_site_fract_x
_atom_site_fract_y
_atom_site_fract_z
Y1 Y 0.0000 0.0000 0.0000
Ge1 Ge 0.0000 0.5000 0.5000
Bi1 Bi 0.5000 0.5000 0.5000
```

***

# 2
Computed, not measured: crystalline Sc3ZnCu2 at its relaxed geometry at the PBE level of DFT.

Summary:
spin magnetization = 0.0 Bohr magnetons per cell
calculated volume = 214.07 Å³ per cell
final energy = -5.04 eV per atom

Structure (CIF):
```
data_Sc3ZnCu2
_cell_length_a 4.6589
_cell_length_b 4.6589
_cell_length_c 11.3886
_cell_angle_alpha 90.00
_cell_angle_beta 90.00
_cell_angle_gamma 120.00
_space_group_name_H-M_alt 'P -3 m 1'
_space_group_IT_number 164
_space_group_name_Hall '-P 3 2"'
loop_
_atom_site_label
_atom_site_type_symbol
_atom_site_fract_x
_atom_site_fract_y
_atom_site_fract_z
Sc1 Sc 0.0000 0.0000 0.2453
Sc2 Sc 0.3333 0.6667 0.4171
Sc3 Sc 0.3333 0.6667 0.9209
Zn1 Zn 0.3333 0.6667 0.6699
Cu1 Cu 0.0000 0.0000 0.0000
Cu2 Cu 0.0000 0.0000 0.5000
Cu3 Cu 0.3333 0.6667 0.1718
```

***

# 3
Computed, not measured: crystalline CoTc4Se at its relaxed geometry at the PBE level of DFT.

Summary:
formation energy without anion corrections = 752.0 meV/atom
spin magnetization = 8.7 Bohr magnetons per cell
calculated volume = 381.41 Å³ per cell

Structure (CIF):
```
data_CoTc4Se
_cell_length_a 7.2521
_cell_length_b 7.2521
_cell_length_c 7.2521
_cell_angle_alpha 90.00
_cell_angle_beta 90.00
_cell_angle_gamma 90.00
_space_group_name_H-M_alt 'F -4 3 m'
_space_group_IT_number 216
_space_group_name_Hall 'F -4 2 3'
loop_
_atom_site_label
_atom_site_type_symbol
_atom_site_fract_x
_atom_site_fract_y
_atom_site_fract_z
Co1 Co 0.0000 0.0000 0.0000
Tc1 Tc 0.1248 0.1248 0.6248
Se1 Se 0.2500 0.2500 0.2500
```

***

# 4
Computed, not measured: crystalline CeY3Te4 at its relaxed geometry at the PBE level of DFT.

Summary:
formation energy without anion corrections = -1330.3 meV/atom
spin magnetization = 2.6 Bohr magnetons per cell
calculated volume = 481.24 Å³ per cell

Structure (CIF):
```
data_CeY3Te4
_cell_length_a 7.6692
_cell_length_b 8.7353
_cell_length_c 7.6041
_cell_angle_alpha 90.00
_cell_angle_beta 109.14
_cell_angle_gamma 90.00
_space_group_name_H-M_alt 'P 1 2/c 1'
_space_group_IT_number 13
loop_
_space_group_symop_operation_xyz
'x,y,z'
'-x,-y,-z'
'-x,y,-z+1/2'
'x,-y,z+1/2'
loop_
_atom_site_label
_atom_site_type_symbol
_atom_site_fract_x
_atom_site_fract_y
_atom_site_fract_z
Ce1 Ce 0.0000 0.1224 0.2500
Y1 Y 0.0000 0.3702 0.7500
Y2 Y 0.5000 0.1256 0.7500
Y3 Y 0.5000 0.3744 0.2500
Te1 Te 0.2517 0.3795 0.5024
Te2 Te 0.2584 0.1282 0.0011
```

***

# 5
Computed, not measured: crystalline GaP2F at its relaxed geometry at the PBE level of DFT.

Summary:
formation energy without anion corrections = -440.5 meV/atom
spin magnetization = 0.0 Bohr magnetons per cell
calculated volume = 265.01 Å³ per cell
energy above the lowest structure with this stoichiometry = 0 meV per atom

Structure (CIF):
```
data_GaP2F
_cell_length_a 3.3824
_cell_length_b 3.3824
_cell_length_c 23.1636
_cell_angle_alpha 90.00
_cell_angle_beta 90.00
_cell_angle_gamma 90.00
_space_group_name_H-M_alt 'I -4 2 d'
_space_group_IT_number 122
_space_group_name_Hall 'I -4 2bw'
loop_
_atom_site_label
_atom_site_type_symbol
_atom_site_fract_x
_atom_site_fract_y
_atom_site_fract_z
Ga1 Ga 0.0000 0.0000 0.0000
P1 P 0.2163 0.2500 0.6250
F1 F 0.0000 0.0000 0.5000
```

***

# 6
Computed, not measured: crystalline ZnFe2Cl at its relaxed geometry at the PBE level of DFT.

Summary:
formation energy without anion corrections = 141.0 meV/atom
spin magnetization = 10.8 Bohr magnetons per cell
calculated volume = 148.26 Å³ per cell
energy above the lowest structure with this stoichiometry = 73 meV per atom

Structure (CIF):
```
data_ZnFe2Cl
_cell_length_a 8.6262
_cell_length_b 2.9276
_cell_length_c 7.1694
_cell_angle_alpha 90.00
_cell_angle_beta 125.03
_cell_angle_gamma 90.00
_space_group_name_H-M_alt 'C 1 2/m 1'
_space_group_IT_number 12
loop_
_space_group_symop_operation_xyz
'x,y,z'
'-x,-y,-z'
'-x,y,-z'
'x,-y,z'
'x+1/2,y+1/2,z'
'-x+1/2,-y+1/2,-z'
'-x+1/2,y+1/2,-z'
'x+1/2,-y+1/2,z'
loop_
_atom_site_label
_atom_site_type_symbol
_atom_site_fract_x
_atom_site_fract_y
_atom_site_fract_z
Zn1 Zn 0.0000 0.0000 0.0000
Fe1 Fe 0.1522 0.5000 0.8449
Cl1 Cl 0.0000 0.0000 0.5000
```